[1]
Er4SbPSe2 | GGA-PBE | optimized geometry

Properties
N(E_F) ... 3.31 states/eV/f.u.
ΔE_f (raw) ... -1548.8 meV/atom

a b c (Å): 4.0958 7.0817 7.1842
angles (deg): 70.58 90.00 90.00
Last column: nearest neighbours and their distance in Å.
Fractional coordinates of all 8 atoms:
Er  0.0000  0.7484  0.7305  1 P 2.79, 3 Se 2.85-3.04, 2 Sb 2.96
Er  0.5000  0.2636  0.7286  2 P 2.80, 3 Se 2.87-3.01, 1 Sb 2.96
Er  0.0000  0.2516  0.2695  1 P 2.79, 3 Se 2.85-3.04, 2 Sb 2.96
Er  0.5000  0.7364  0.2714  2 P 2.80, 3 Se 2.87-3.01, 1 Sb 2.96
P  0.0000  0.5000  0.5000  6 Er 2.79-2.80
Se  0.5000  0.0000  0.5000  6 Er 2.85-2.87
Se  0.0000  0.0000  0.0000  6 Er 3.01-3.04
Sb  0.5000  0.5000  0.0000  6 Er 2.96

[2]
Er4Sb2PSe | GGA-PBE | optimized geometry

Properties
N(E_F) ... 1.50 states/eV/f.u.
ΔE_f (raw) ... -1384.5 meV/atom

a b c (Å): 4.1628 7.2204 7.2633
angles (deg): 109.19 90.00 90.00
Last column: nearest neighbours and their distance in Å.
Fractional coordinates of all 8 atoms:
Sb  0.5000  0.0000  0.5000  6 Er 2.99
Sb  0.0000  0.5000  0.5000  6 Er 3.07
Er  0.0000  0.2459  0.7656  1 P 2.84, 2 Se 2.92, 3 Sb 2.99-3.07
Er  0.0000  0.7541  0.2344  1 P 2.84, 2 Se 2.92, 3 Sb 2.99-3.07
Er  0.5000  0.7653  0.7711  2 P 2.85, 1 Se 2.92, 3 Sb 2.99-3.07
Er  0.5000  0.2347  0.2289  2 P 2.85, 1 Se 2.92, 3 Sb 2.99-3.07
Se  0.5000  0.5000  0.0000  6 Er 2.92
P  0.0000  0.0000  0.0000  6 Er 2.84-2.85

[3]
Er6Sb3TeP2 | GGA-PBE | optimized geometry

Properties
N(E_F) ... 2.35 states/eV/f.u.
ΔE_f (raw) ... -1287.4 meV/atom

a b c (Å): 4.2003 8.4866 9.4269
angles (deg): 102.99 102.87 90.00
Last column: nearest neighbours and their distance in Å.
Fractional coordinates of all 12 atoms:
Sb  0.5000  0.5000  0.0000  6 Er 2.95-3.10
Sb  0.8394  0.1677  0.6789  6 Er 2.98-3.11
Sb  0.1606  0.8323  0.3211  6 Er 2.98-3.11
P  0.8309  0.6643  0.6619  6 Er 2.82-2.88
P  0.1691  0.3357  0.3381  6 Er 2.82-2.88
Te  0.5000  0.0000  0.0000  6 Er 3.03-3.10
Er  0.9885  0.7378  0.9770  1 P 2.82, 3 Sb 2.95-3.08, 2 Te 3.03
Er  0.0115  0.2622  0.0230  1 P 2.82, 3 Sb 2.95-3.08, 2 Te 3.03
Er  0.6733  0.1064  0.3466  2 P 2.88, 3 Sb 2.98-3.10, 1 Te 3.10
Er  0.3267  0.8936  0.6534  2 P 2.88, 3 Sb 2.98-3.10, 1 Te 3.10
Er  0.6732  0.5704  0.3465  3 P 2.82-2.88, 3 Sb 3.10-3.11
Er  0.3268  0.4296  0.6535  3 P 2.82-2.88, 3 Sb 3.10-3.11

[4]
Er4SbTe2P | GGA-PBE | optimized geometry

Properties
N(E_F) ... 3.67 states/eV/f.u.
ΔE_f (raw) ... -1340.2 meV/atom

a b c (Å): 4.2042 7.4341 7.3531
angles (deg): 71.00 90.00 90.00
Last column: nearest neighbours and their distance in Å.
Fractional coordinates of all 8 atoms:
Sb  0.5000  0.5000  0.0000  6 Er 2.97-2.98
P  0.0000  0.5000  0.5000  6 Er 2.79-2.82
Er  0.5000  0.2845  0.7213  2 P 2.82, 1 Sb 2.98, 1 Te 3.06
Er  0.5000  0.7155  0.2787  2 P 2.82, 1 Sb 2.98, 1 Te 3.06
Er  0.0000  0.2747  0.2624  1 P 2.79, 2 Sb 2.97, 2 Te 3.05
Er  0.0000  0.7253  0.7376  1 P 2.79, 2 Sb 2.97, 2 Te 3.05
Te  0.0000  0.0000  0.0000  6 Er 3.20-3.23
Te  0.5000  0.0000  0.5000  6 Er 3.05-3.06

no.,density (Mg/m³)
1,8.3
2,8.2
3,8.1
4,8.2